[1]
First-principles (PBE) data for a relaxed Tb5PaIr6 crystal, as listed in Alexandria.

Cell and atoms, written as CIF:
```
data_Tb5PaIr6
_chemical_formula_sum 'Tb10 Pa2 Ir12'
_cell_length_a 4.8473
_cell_length_b 14.5909
_cell_length_c 7.0217
_cell_angle_alpha 90.00
_cell_angle_beta 90.00
_cell_angle_gamma 90.00
_symmetry_space_group_name_H-M 'C m m m'
_symmetry_Int_Tables_number 65
_symmetry_space_group_name_Hall '-C 2 2'
loop_
_atom_site_label
_atom_site_type_symbol
_atom_site_fract_x
_atom_site_fract_y
_atom_site_fract_z
Tb1 Tb 0.0000 0.0000 0.0000
Tb2 Tb 0.0000 0.3287 0.5000
Tb3 Tb 0.0000 0.3326 0.0000
Pa1 Pa 0.0000 0.0000 0.5000
Ir1 Ir 0.0000 0.1569 0.2560
Ir2 Ir 0.0000 0.5000 0.2684
```

- Fermi-level density of states: 0.47 states/eV/atom
- Energy relative to the elements: -9.575 eV per formula unit
- Crystal system: orthorhombic

***

[2]
First-principles (PBE) data for a relaxed Zn3NiPt crystal, as listed in Alexandria.

Cell and atoms, written as CIF:
```
data_Zn3NiPt
_chemical_formula_sum 'Zn3 Ni1 Pt1'
_cell_length_a 4.4102
_cell_length_b 4.4102
_cell_length_c 4.4102
_cell_angle_alpha 90.00
_cell_angle_beta 90.00
_cell_angle_gamma 90.00
_symmetry_space_group_name_H-M 'P m -3 m'
_symmetry_Int_Tables_number 221
_symmetry_space_group_name_Hall '-P 4 2 3'
loop_
_atom_site_label
_atom_site_type_symbol
_atom_site_fract_x
_atom_site_fract_y
_atom_site_fract_z
Zn1 Zn 0.0000 0.0000 0.5000
Ni1 Ni 0.0000 0.0000 0.0000
Pt1 Pt 0.5000 0.5000 0.5000
```

- Energy above the lowest structure with this stoichiometry: 348 kJ/mol of formula units
- Fermi-level density of states: 0.43 states/eV/atom
- Energy relative to the elements: 1.873 eV per formula unit
- Crystal system: cubic

***

[3]
First-principles (PBE) data for a relaxed Li2CaMg2 crystal, as listed in Alexandria.

Cell and atoms, written as CIF:
```
data_Li2CaMg2
_chemical_formula_sum 'Li4 Ca2 Mg4'
_cell_length_a 13.6263
_cell_length_b 4.9352
_cell_length_c 3.9806
_cell_angle_alpha 90.00
_cell_angle_beta 106.55
_cell_angle_gamma 90.00
_symmetry_space_group_name_H-M 'C 1 2/m 1'
_symmetry_Int_Tables_number 12
loop_
_symmetry_equiv_pos_as_xyz
'x,y,z'
'-x,-y,-z'
'-x,y,-z'
'x,-y,z'
'x+1/2,y+1/2,z'
'-x+1/2,-y+1/2,-z'
'-x+1/2,y+1/2,-z'
'x+1/2,-y+1/2,z'
loop_
_atom_site_label
_atom_site_type_symbol
_atom_site_fract_x
_atom_site_fract_y
_atom_site_fract_z
Li1 Li 0.1045 0.0000 0.1052
Ca1 Ca 0.0000 0.5000 0.5000
Mg1 Mg 0.2315 0.5000 0.2333
```

- Energy above the lowest structure with this stoichiometry: 29 kJ/mol of formula units
- Fermi-level density of states: 0.58 states/eV/atom
- Energy relative to the elements: 0.100 eV per formula unit
- Crystal system: monoclinic